(1)
Rb2UCl3F3 PBE relaxed; theoretical density = 4.46 g/cm3; DFT total energy = -47.4 eV per cell; raw formation energy = -2.5538 eV per atom
1.0
8.091 0.000 0.000
-4.045 7.007 0.000
0.000 0.000 3.763
Rb U Cl F
2 1 3 3
direct
0.333 0.667 0.000 Rb
0.667 0.333 0.000 Rb
0.000 0.000 0.500 U
0.000 0.652 0.500 Cl
0.348 0.348 0.500 Cl
0.652 0.000 0.500 Cl
0.000 0.182 0.000 F
0.182 0.000 0.000 F
0.818 0.818 0.000 F

---

(2)
TiSnSb2Se PBE relaxed; theoretical density = 5.58 g/cm3; DFT total energy = -22.4 eV per cell; raw formation energy = 0.2436 eV per atom
1.0
5.185 0.000 0.000
0.000 5.185 0.000
0.000 0.000 5.417
Ti Sn Sb Se
1 1 2 1
direct
0.000 0.000 0.000 Ti
0.000 0.000 0.500 Sn
0.000 0.500 0.000 Sb
0.500 0.000 0.000 Sb
0.500 0.500 0.500 Se

---

(3)
TaMo2Cl PBE relaxed; excess energy over the best structure of this formula in the dataset = 699.4 meV per atom; theoretical density = 10.23 g/cm3; DFT total energy = -31.9 eV per cell; raw formation energy = 0.8752 eV per atom
1.0
0.000 3.212 3.212
3.212 0.000 3.212
3.212 3.212 0.000
Ta Mo Cl
1 2 1
direct
0.000 0.000 0.000 Ta
0.500 0.500 0.500 Mo
0.750 0.750 0.750 Mo
0.250 0.250 0.250 Cl

---

(4)
TaVSn2W PBE relaxed; energy of formation = 1.7833 eV per atom; theoretical density = 8.10 g/cm3; DFT total energy = -33.0 eV per cell
1.0
5.254 0.000 0.000
0.000 5.254 0.000
0.000 0.000 4.852
Ta V Sn W
1 1 2 1
direct
0.000 0.000 0.000 Ta
0.500 0.500 0.500 V
0.000 0.500 0.000 Sn
0.500 0.000 0.000 Sn
0.000 0.000 0.500 W

---

(5)
NdHo2ErSb4 PBE relaxed; theoretical density = 7.75 g/cm3; DFT total energy = -43.9 eV per cell; raw formation energy = -1.1206 eV per atom
1.0
7.628 0.000 0.000
0.000 4.408 0.000
-2.545 0.000 7.192
Nd Ho Er Sb
1 2 1 4
direct
0.000 0.000 0.000 Nd
0.000 0.500 0.500 Ho
0.500 0.000 0.500 Ho
0.500 0.500 0.000 Er
0.254 0.000 0.747 Sb
0.257 0.500 0.256 Sb
0.743 0.500 0.744 Sb
0.746 0.000 0.253 Sb

---

(6)
PrInGa2I6 PBE relaxed; theoretical density = 4.26 g/cm3; DFT total energy = -30.8 eV per cell; raw formation energy = -0.7878 eV per atom
1.0
4.152 2.397 7.549
-4.152 2.397 7.549
0.000 -4.794 7.549
Pr In Ga I
1 1 2 6
direct
0.000 0.000 0.000 Pr
0.507 0.507 0.507 In
0.318 0.318 0.318 Ga
0.813 0.813 0.813 Ga
0.092 0.385 0.738 I
0.193 0.934 0.603 I
0.385 0.738 0.092 I
0.603 0.193 0.934 I
0.738 0.092 0.385 I
0.934 0.603 0.193 I

---

(7)
Ga2SnHgBr8 PBE relaxed; theoretical density = 3.75 g/cm3; DFT total energy = -32.3 eV per cell; raw formation energy = -0.7147 eV per atom
1.0
6.704 -3.865 0.000
6.704 3.865 0.000
-3.722 0.000 9.375
Ga Sn Hg Br
2 1 1 8
direct
0.203 0.203 0.130 Ga
0.797 0.797 0.870 Ga
0.500 0.500 0.000 Sn
0.000 0.000 0.500 Hg
0.102 0.604 0.774 Br
0.135 0.135 0.884 Br
0.395 0.395 0.227 Br
0.396 0.898 0.226 Br
0.604 0.102 0.774 Br
0.605 0.605 0.773 Br
0.865 0.865 0.116 Br
0.898 0.396 0.226 Br

---

(8)
Ac3Rh2I2 PBE relaxed; theoretical density = 7.17 g/cm3; DFT total energy = -36.2 eV per cell; raw formation energy = -0.8645 eV per atom
1.0
7.243 -2.155 0.000
7.243 2.155 0.000
-1.675 0.000 8.469
Ac Rh I
3 2 2
direct
0.000 0.000 0.000 Ac
0.238 0.238 0.795 Ac
0.762 0.762 0.205 Ac
0.377 0.377 0.078 Rh
0.623 0.623 0.922 Rh
0.120 0.120 0.389 I
0.880 0.880 0.611 I

---

(9)
Be6Hg7 PBE relaxed; energy of formation = 0.7190 eV per atom; theoretical density = 8.72 g/cm3; DFT total energy = -15.1 eV per cell
1.0
3.501 2.021 6.538
-3.501 2.021 6.538
0.000 -4.043 6.538
Be Hg
6 7
direct
0.054 0.054 0.054 Be
0.163 0.163 0.163 Be
0.368 0.368 0.368 Be
0.632 0.632 0.632 Be
0.837 0.837 0.837 Be
0.946 0.946 0.946 Be
0.027 0.597 0.597 Hg
0.403 0.403 0.973 Hg
0.403 0.973 0.403 Hg
0.500 0.500 0.500 Hg
0.597 0.027 0.597 Hg
0.597 0.597 0.027 Hg
0.973 0.403 0.403 Hg

---

(10)
ZrTlCl PBE relaxed; excess energy over the best structure of this formula in the dataset = 176.5 meV per atom; theoretical density = 6.68 g/cm3; DFT total energy = -14.2 eV per cell; raw formation energy = -0.4944 eV per atom
1.0
0.000 2.925 8.493
1.655 0.000 8.493
1.655 2.925 0.000
Zr Tl Cl
1 1 1
direct
0.000 0.000 0.000 Zr
0.346 0.346 0.654 Tl
0.616 0.616 0.384 Cl